[1]
Density functional theory data (PBE-GGA) for an optimized crystal structure of BaLi3Pt.

Output
* distance to the lowest polymorph of the same formula: 1.524 eV/atom
* volume: 22.54 Å³/atom
* formation energy: 114.55 kJ/mol of atoms

Lattice parameters (Å, degrees): 4.830 4.830 4.830 90.00 90.00 90.00
Space group Pm-3m (No. 221)
Inequivalent atoms, fractional coordinates:
Ba1 0.000 0.000 0.000 x1
Li1 0.000 0.000 0.500 x3
Pt1 0.500 0.500 0.500 x1



[2]
Density functional theory data (PBE-GGA) for an optimized crystal structure of TeBr2F.

Output
* ΔE_f (raw): -55.8 kJ/mol of formula units
* distance to the lowest polymorph of the same formula: 0.000 eV/atom
* volume: 21.34 Å³/atom

Lattice parameters (Å, degrees): 6.990 6.990 6.990 90.00 90.00 90.00
Space group Fm-3m (No. 225)
Inequivalent atoms, fractional coordinates:
Te1 0.000 0.000 0.000 x4
Br1 0.250 0.250 0.250 x8
F1 0.000 0.000 0.500 x4



[3]
Density functional theory data (PBE-GGA) for an optimized crystal structure of Nb2HgB.

Output
* distance to the lowest polymorph of the same formula: 0.283 eV/atom
* volume: 16.77 Å³/atom
* formation energy: 1.64 kJ/mol of atoms

Lattice parameters (Å, degrees): 3.553 6.191 6.304 79.77 89.82 79.57
Space group P1 (No. 1)
Inequivalent atoms, fractional coordinates:
Nb1 0.000 0.000 0.000 x1
Nb2 0.055 0.943 0.472 x1
Nb3 0.414 0.301 0.164 x1
Nb4 0.848 0.551 0.389 x1
Hg1 0.437 0.242 0.670 x1
Hg2 0.732 0.628 0.835 x1
B1 0.342 0.698 0.195 x1
B2 0.544 0.918 0.245 x1



[4]
Density functional theory data (PBE-GGA) for an optimized crystal structure of Ca2IrAu.

Output
* volume: 20.99 Å³/atom
* formation energy: -20.10 kJ/mol of atoms

Lattice parameters (Å, degrees): 6.951 6.951 6.951 90.00 90.00 90.00
Space group F-43m (No. 216)
Inequivalent atoms, fractional coordinates:
Ca1 0.000 0.000 0.000 x4
Ca2 0.250 0.250 0.250 x4
Ir1 0.250 0.250 0.750 x4
Au1 0.000 0.000 0.500 x4



[5]
Density functional theory data (PBE-GGA) for an optimized crystal structure of Hg2Te.

Output
* ΔE_f (raw): 22.0 kJ/mol of formula units
* distance to the lowest polymorph of the same formula: 0.106 eV/atom
* volume: 29.68 Å³/atom

Lattice parameters (Å, degrees): 7.217 7.217 6.837 90.00 90.00 90.00
Space group I4/mcm (No. 140)
Inequivalent atoms, fractional coordinates:
Hg1 0.139 0.361 0.000 x8
Te1 0.000 0.000 0.250 x4



[6]
Density functional theory data (PBE-GGA) for an optimized crystal structure of SrPaSi.

Output
* ΔE_f (raw): 11.4 kJ/mol of formula units
* volume: 29.36 Å³/atom

Lattice parameters (Å, degrees): 3.679 3.679 13.013 90.00 90.00 90.00
Space group P4/mmm (No. 123)
Inequivalent atoms, fractional coordinates:
Sr1 0.000 0.000 0.150 x2
Pa1 0.500 0.500 0.396 x2
Si1 0.000 0.000 0.500 x1
Si2 0.500 0.500 0.000 x1



[7]
Density functional theory data (PBE-GGA) for an optimized crystal structure of ReIBr4.

Output
* ΔE_f (raw): 14.8 kJ/mol of formula units
* distance to the lowest polymorph of the same formula: 0.066 eV/atom
* volume: 34.77 Å³/atom

Lattice parameters (Å, degrees): 17.460 7.363 6.536 90.00 96.66 90.00
Space group C2/m (No. 12)
Inequivalent atoms, fractional coordinates:
Re1 0.026 0.000 0.206 x4
I1 0.205 0.500 0.190 x4
Br1 0.000 0.224 0.500 x4
Br2 0.087 0.216 0.963 x8
Br3 0.158 0.000 0.399 x4



[8]
Density functional theory data (PBE-GGA) for an optimized crystal structure of MnW4Au.

Output
* volume: 17.18 Å³/atom
* formation energy: 60.80 kJ/mol of atoms

Lattice parameters (Å, degrees): 7.443 7.443 7.443 90.00 90.00 90.00
Space group F-43m (No. 216)
Inequivalent atoms, fractional coordinates:
Mn1 0.000 0.000 0.000 x4
W1 0.125 0.125 0.625 x16
Au1 0.250 0.250 0.250 x4



[9]
Density functional theory data (PBE-GGA) for an optimized crystal structure of AcTbSbSe.

Output
* ΔE_f (raw): -503.5 kJ/mol of formula units
* volume: 34.18 Å³/atom

Lattice parameters (Å, degrees): 5.2603 5.2603 34.2349 90.00 90.00 120.00
Space group R-3m (No. 166, hexagonal axes)
Inequivalent atoms, fractional coordinates:
Ac1 0.0000 0.0000 0.1149 x6
Tb1 0.0000 0.0000 0.2961 x6
Sb1 0.0000 0.0000 0.3871 x6
Se1 0.0000 0.0000 0.2051 x6



[10]
Density functional theory data (PBE-GGA) for an optimized crystal structure of BaNaSmS3.

Output
* ΔE_f (raw): -1017.2 kJ/mol of formula units
* volume: 27.52 Å³/atom

Lattice parameters (Å, degrees): 8.730 4.259 9.214 90.00 105.47 90.00
Space group P2_1/m (No. 11)
Inequivalent atoms, fractional coordinates:
Ba1 0.209 0.250 0.238 x2
Na1 0.090 0.250 0.585 x2
Sm1 0.328 0.750 0.841 x2
S1 0.119 0.250 0.875 x2
S2 0.238 0.750 0.520 x2
S3 0.452 0.750 0.156 x2



[11]
Density functional theory data (PBE-GGA) for an optimized crystal structure of ZnAgP2.

Output
* volume: 18.52 Å³/atom
* formation energy: 12.79 kJ/mol of atoms

Lattice parameters (Å, degrees): 4.328 3.448 5.121 90.00 104.24 90.00
Space group P2/m (No. 10)
Inequivalent atoms, fractional coordinates:
Zn1 0.000 0.000 0.000 x1
Ag1 0.500 0.000 0.500 x1
P1 0.312 0.500 0.817 x2